Below is crystalline Tb4USb5 at its relaxed geometry, with properties calculated at the GGA-PBE level.

Properties
ΔE_f (raw): -0.95 eV per atom
Volume: 30.01 Å³/atom

```
data_Tb4USb5
_chemical_formula_sum 'Tb8 U2 Sb10'
_cell_length_a 9.8232
_cell_length_b 9.8232
_cell_length_c 6.2203
_cell_angle_alpha 90.00
_cell_angle_beta 90.00
_cell_angle_gamma 90.00
_symmetry_space_group_name_H-M 'I 4/m'
_symmetry_Int_Tables_number 87
_symmetry_space_group_name_Hall '-I 4'
loop_
_atom_site_label
_atom_site_type_symbol
_atom_site_fract_x
_atom_site_fract_y
_atom_site_fract_z
Tb1 Tb 0.0991 0.6995 0.0000
U1 U 0.0000 0.0000 0.5000
Sb1 Sb 0.0000 0.0000 0.0000
Sb2 Sb 0.0988 0.7022 0.5000
```

Below is crystalline Tb5USb6 at its relaxed geometry, with properties calculated at the GGA-PBE level.

Properties
ΔE_f (raw): -0.98 eV per atom
Volume: 30.09 Å³/atom

```
data_Tb5USb6
_chemical_formula_sum 'Tb10 U2 Sb12'
_cell_length_a 7.6147
_cell_length_b 13.2049
_cell_length_c 7.6174
_cell_angle_alpha 90.00
_cell_angle_beta 109.48
_cell_angle_gamma 90.00
_symmetry_space_group_name_H-M 'C 1 2/m 1'
_symmetry_Int_Tables_number 12
loop_
_symmetry_equiv_pos_as_xyz
'x,y,z'
'-x,-y,-z'
'-x,y,-z'
'x,-y,z'
'x+1/2,y+1/2,z'
'-x+1/2,-y+1/2,-z'
'-x+1/2,y+1/2,-z'
'x+1/2,-y+1/2,z'
loop_
_atom_site_label
_atom_site_type_symbol
_atom_site_fract_x
_atom_site_fract_y
_atom_site_fract_z
Tb1 Tb 0.0000 0.0000 0.0000
Tb2 Tb 0.0000 0.1664 0.5000
Tb3 Tb 0.0000 0.3325 0.0000
U1 U 0.0000 0.5000 0.5000
Sb1 Sb 0.2485 0.5000 0.2510
Sb2 Sb 0.2490 0.3341 0.7495
```

Below is crystalline TbVSb3 at its relaxed geometry, with properties calculated at the GGA-PBE level.

Properties
ΔE_f (raw): -0.51 eV per atom
Volume: 24.11 Å³/atom

```
data_TbVSb3
_chemical_formula_sum 'Tb4 V4 Sb12'
_cell_length_a 12.8172
_cell_length_b 6.3131
_cell_length_c 5.9587
_cell_angle_alpha 90.00
_cell_angle_beta 90.00
_cell_angle_gamma 90.00
_symmetry_space_group_name_H-M 'P b c m'
_symmetry_Int_Tables_number 57
loop_
_symmetry_equiv_pos_as_xyz
'x,y,z'
'-x,-y,-z'
'-x,-y,z+1/2'
'x,y,-z+1/2'
'x,-y+1/2,-z'
'-x,y+1/2,z'
'-x,y+1/2,-z+1/2'
'x,-y+1/2,z+1/2'
loop_
_atom_site_label
_atom_site_type_symbol
_atom_site_fract_x
_atom_site_fract_y
_atom_site_fract_z
Tb1 Tb 0.1885 0.0027 0.2500
V1 V 0.4005 0.7500 0.0000
Sb1 Sb 0.0016 0.7500 0.0000
Sb2 Sb 0.2742 0.0060 0.7500
Sb3 Sb 0.4338 0.1043 0.2500
```

Below is crystalline Tb3YSb3 at its relaxed geometry, with properties calculated at the GGA-PBE level.

Properties
Energy above the most stable polymorph in this dataset: 94 meV/atom
ΔE_f (raw): -0.92 eV per atom
Volume: 30.87 Å³/atom

```
data_Tb3YSb3
_chemical_formula_sum 'Tb18 Y6 Sb18'
_cell_length_a 9.0024
_cell_length_b 9.0024
_cell_length_c 18.4706
_cell_angle_alpha 90.00
_cell_angle_beta 90.00
_cell_angle_gamma 120.00
_symmetry_space_group_name_H-M 'R -3'
_symmetry_Int_Tables_number 148
_symmetry_space_group_name_Hall '-R 3'
loop_
_atom_site_label
_atom_site_type_symbol
_atom_site_fract_x
_atom_site_fract_y
_atom_site_fract_z
Tb1 Tb 0.0032 0.7395 0.0850
Y1 Y 0.0000 0.0000 0.3335
Sb1 Sb 0.0041 0.6158 0.9187
```

Below is crystalline Tb2YSb at its relaxed geometry, with properties calculated at the GGA-PBE level.

Properties
Energy above the most stable polymorph in this dataset: 225 meV/atom
ΔE_f (raw): -0.34 eV per atom
Volume: 33.24 Å³/atom

```
data_Tb2YSb
_chemical_formula_sum 'Tb6 Y3 Sb3'
_cell_length_a 4.0170
_cell_length_b 4.0170
_cell_length_c 28.5450
_cell_angle_alpha 90.00
_cell_angle_beta 90.00
_cell_angle_gamma 120.00
_symmetry_space_group_name_H-M 'R 3 m'
_symmetry_Int_Tables_number 160
_symmetry_space_group_name_Hall 'R 3 -2"'
loop_
_atom_site_label
_atom_site_type_symbol
_atom_site_fract_x
_atom_site_fract_y
_atom_site_fract_z
Tb1 Tb 0.0000 0.0000 0.0000
Tb2 Tb 0.0000 0.0000 0.1978
Y1 Y 0.0000 0.0000 0.7653
Sb1 Sb 0.0000 0.0000 0.5993
```

Below is crystalline Tb2YSb3 at its relaxed geometry, with properties calculated at the GGA-PBE level.

Properties
ΔE_f (raw): -1.15 eV per atom
Volume: 30.10 Å³/atom

```
data_Tb2YSb3
_chemical_formula_sum 'Tb4 Y2 Sb6'
_cell_length_a 4.4003
_cell_length_b 6.2182
_cell_length_c 13.2007
_cell_angle_alpha 90.00
_cell_angle_beta 90.00
_cell_angle_gamma 90.00
_symmetry_space_group_name_H-M 'I m m m'
_symmetry_Int_Tables_number 71
_symmetry_space_group_name_Hall '-I 2 2'
loop_
_atom_site_label
_atom_site_type_symbol
_atom_site_fract_x
_atom_site_fract_y
_atom_site_fract_z
Tb1 Tb 0.0000 0.0000 0.1668
Y1 Y 0.0000 0.0000 0.5000
Sb1 Sb 0.0000 0.5000 0.1663
Sb2 Sb 0.0000 0.5000 0.5000
```

Below is crystalline Tb3Y4Sb4 at its relaxed geometry, with properties calculated at the GGA-PBE level.

Properties
ΔE_f (raw): -0.79 eV per atom
Volume: 29.25 Å³/atom

```
data_Tb3Y4Sb4
_chemical_formula_sum 'Tb6 Y8 Sb8'
_cell_length_a 4.0663
_cell_length_b 9.1887
_cell_length_c 17.2246
_cell_angle_alpha 90.00
_cell_angle_beta 90.00
_cell_angle_gamma 90.00
_symmetry_space_group_name_H-M 'I m m m'
_symmetry_Int_Tables_number 71
_symmetry_space_group_name_Hall '-I 2 2'
loop_
_atom_site_label
_atom_site_type_symbol
_atom_site_fract_x
_atom_site_fract_y
_atom_site_fract_z
Tb1 Tb 0.0000 0.0000 0.0000
Tb2 Tb 0.0000 0.5000 0.1003
Y1 Y 0.0000 0.3154 0.3311
Sb1 Sb 0.0000 0.0000 0.2634
Sb2 Sb 0.0000 0.2072 0.5000
```

Below is crystalline TbYSb2 at its relaxed geometry, with properties calculated at the GGA-PBE level.

Properties
Energy above the most stable polymorph in this dataset: 114 meV/atom
ΔE_f (raw): -1.04 eV per atom
Volume: 30.71 Å³/atom

```
data_TbYSb2
_chemical_formula_sum 'Tb3 Y3 Sb6'
_cell_length_a 4.3624
_cell_length_b 4.3624
_cell_length_c 22.3576
_cell_angle_alpha 90.00
_cell_angle_beta 90.00
_cell_angle_gamma 120.00
_symmetry_space_group_name_H-M 'R 3 m'
_symmetry_Int_Tables_number 160
_symmetry_space_group_name_Hall 'R 3 -2"'
loop_
_atom_site_label
_atom_site_type_symbol
_atom_site_fract_x
_atom_site_fract_y
_atom_site_fract_z
Tb1 Tb 0.0000 0.0000 0.0000
Y1 Y 0.0000 0.0000 0.1707
Sb1 Sb 0.0000 0.0000 0.5837
Sb2 Sb 0.0000 0.0000 0.7535
```